First-principles (PBE) data for a relaxed structure of MgSbIr2, as listed in Alexandria.

Output
Uncorrected formation energy ... 0.9 eV per formula unit
Volume ... 71.64 Å³/f.u.

```
data_MgSbIr2
_cell_length_a 3.0595
_cell_length_b 3.0595
_cell_length_c 26.5139
_cell_angle_alpha 90.00
_cell_angle_beta 90.00
_cell_angle_gamma 120.00
_symmetry_space_group_name_H-M 'R 3 m'
_symmetry_Int_Tables_number 160
_symmetry_space_group_name_Hall 'R 3 -2"'
loop_
_atom_site_label
_atom_site_fract_x
_atom_site_fract_y
_atom_site_fract_z
Mg1 0.0000 0.0000 0.0000
Sb1 0.0000 0.0000 0.7668
Ir1 0.0000 0.0000 0.2586
Ir2 0.0000 0.0000 0.5111
```